## i
Computed, not measured: a geometry-optimized Y2CdSn4 structure at the PBE level of DFT.

Lattice parameters (Å, degrees): 4.459 4.459 9.602 90.00 90.00 90.00
Space group P-4m2 (No. 115)
Unique sites:
Y: 0.000 0.500 0.242
Cd: 0.500 0.500 0.000
Sn: 0.000 0.000 0.500
Sn: 0.000 0.500 0.806
Sn: 0.500 0.500 0.500

Properties
Crystal system: tetragonal
Density of states at the Fermi level in states/eV per cell: 4.2
Total magnetization in μB/atom: 0.000

=====

## ii
Computed, not measured: a geometry-optimized Y2CdSn4 structure at the PBE level of DFT.

Lattice parameters (Å, degrees): 9.124 9.184 6.448 90.00 134.69 90.00
Space group C2/m (No. 12)
Unique sites:
Y: 0.250 0.250 0.000
Cd: 0.000 0.000 0.500
Sn: 0.000 0.000 0.000
Sn: 0.000 0.500 0.000
Sn: 0.250 0.250 0.500

Properties
Crystal system: monoclinic
Density of states at the Fermi level in states/eV per cell: 9.6
Total magnetization in μB/atom: 0.000

=====

Stability summary: most stable ii, least stable i.

=====

## i
Computed, not measured: a geometry-optimized YCd3Sn structure at the PBE level of DFT.

Lattice parameters (Å, degrees): 5.757 5.757 5.757 90.00 90.00 90.00
Space group Pm-3m (No. 221)
Unique sites:
Y: 0.000 0.000 0.000
Cd: 0.000 0.000 0.500
Sn: 0.500 0.500 0.500

Properties
Crystal system: cubic
Density of states at the Fermi level in states/eV per cell: 4.4
Total magnetization in μB/atom: 0.000

=====

## ii
Computed, not measured: a geometry-optimized YCd3Sn structure at the PBE level of DFT.

Lattice parameters (Å, degrees): 5.434 5.434 5.434 90.00 90.00 90.00
Space group Pm-3m (No. 221)
Unique sites:
Y: 0.000 0.000 0.000
Cd: 0.000 0.500 0.500
Sn: 0.500 0.500 0.500

Properties
Crystal system: cubic
Density of states at the Fermi level in states/eV per cell: 2.8
Total magnetization in μB/atom: 0.000

=====

Stability summary: most stable ii, least stable i.

=====

## i
Computed, not measured: a geometry-optimized Zn2Cd2Sn structure at the PBE level of DFT.

Lattice parameters (Å, degrees): 3.997 3.997 13.732 90.00 90.00 90.00
Space group I4/mmm (No. 139)
Unique sites:
Zn: 0.000 0.500 0.250
Cd: 0.000 0.000 0.107
Sn: 0.000 0.000 0.500

Properties
Crystal system: tetragonal
Density of states at the Fermi level in states/eV per cell: 4.3
Total magnetization in μB/atom: 0.000

=====

## ii
Computed, not measured: a geometry-optimized Zn2Cd2Sn structure at the PBE level of DFT.

Lattice parameters (Å, degrees): 7.999 7.999 3.401 90.00 90.00 90.00
Space group P4/mbm (No. 127)
Unique sites:
Zn: 0.169 0.331 0.000
Cd: 0.131 0.631 0.500
Sn: 0.000 0.000 0.500

Properties
Crystal system: tetragonal
Density of states at the Fermi level in states/eV per cell: 3.1
Total magnetization in μB/atom: 0.000

=====

Stability summary: most stable i, least stable ii.